Record 1
# GGA-PBE NaAlPtO4, relaxed
data_NaAlPtO4
_chemical_formula_sum 'Na4 Al4 Pt4 O16'
_cell_length_a 5.849
_cell_length_b 6.399
_cell_length_c 8.643
_cell_angle_alpha 90.00
_cell_angle_beta 90.00
_cell_angle_gamma 90.00
_symmetry_space_group_name_H-M 'I m m a'
_symmetry_Int_Tables_number 74
_symmetry_space_group_name_Hall '-I 2b 2'
loop_
_atom_site_label
_atom_site_type_symbol
_atom_site_fract_x
_atom_site_fract_y
_atom_site_fract_z
Na1 Na 0.000 0.250 0.146
Al1 Al 0.250 0.250 0.750
Pt1 Pt 0.000 0.000 0.500
O1 O 0.000 0.052 0.737
O2 O 0.221 0.250 0.524
# E_form (uncorrected) ... -1.703 eV/atom



Record 2
# GGA-PBE LiTi2Al, relaxed
data_LiTi2Al
_chemical_formula_sum 'Li1 Ti2 Al1'
_cell_length_a 4.047
_cell_length_b 4.047
_cell_length_c 3.940
_cell_angle_alpha 90.00
_cell_angle_beta 90.00
_cell_angle_gamma 90.00
_symmetry_space_group_name_H-M 'P 4/m m m'
_symmetry_Int_Tables_number 123
_symmetry_space_group_name_Hall '-P 4 2'
loop_
_atom_site_label
_atom_site_type_symbol
_atom_site_fract_x
_atom_site_fract_y
_atom_site_fract_z
Li1 Li 0.000 0.000 0.000
Ti1 Ti 0.000 0.500 0.500
Al1 Al 0.500 0.500 0.000
# Formation energy from the elements ... -0.02 eV per atom



Record 3
# GGA-PBE Sn2Hg5Pb12, relaxed
data_Sn2Hg5Pb12
_chemical_formula_sum 'Sn4 Hg10 Pb24'
_cell_length_a 17.328
_cell_length_b 11.056
_cell_length_c 6.209
_cell_angle_alpha 90.00
_cell_angle_beta 104.19
_cell_angle_gamma 90.00
_symmetry_space_group_name_H-M 'C 1 2/m 1'
_symmetry_Int_Tables_number 12
_symmetry_space_group_name_Hall '-C 2y'
loop_
_atom_site_label
_atom_site_type_symbol
_atom_site_fract_x
_atom_site_fract_y
_atom_site_fract_z
Sn1 Sn 0.000 0.242 0.000
Hg1 Hg 0.000 0.500 0.500
Hg2 Hg 0.171 0.000 0.862
Hg3 Hg 0.217 0.500 0.517
Pb1 Pb 0.061 0.000 0.296
Pb2 Pb 0.100 0.256 0.619
Pb3 Pb 0.102 0.500 0.003
Pb4 Pb 0.197 0.232 0.199
# Relative energy among the computed polymorphs ... 0.0 meV per atom
# Formation energy from the elements ... 0.05 eV per atom



Record 4
# GGA-PBE TlAs5S8, relaxed
data_TlAs5S8
_chemical_formula_sum 'Tl4 As20 S32'
_cell_length_a 16.010
_cell_length_b 8.157
_cell_length_c 11.423
_cell_angle_alpha 90.00
_cell_angle_beta 91.82
_cell_angle_gamma 90.00
_symmetry_space_group_name_H-M 'P 1 21/c 1'
_symmetry_Int_Tables_number 14
_symmetry_space_group_name_Hall '-P 2ybc'
loop_
_atom_site_label
_atom_site_type_symbol
_atom_site_fract_x
_atom_site_fract_y
_atom_site_fract_z
Tl1 Tl 0.214 0.167 0.164
As1 As 0.052 0.173 0.412
As2 As 0.077 0.619 0.392
As3 As 0.239 0.646 0.052
As4 As 0.390 0.725 0.361
As5 As 0.432 0.033 0.620
S1 S 0.063 0.642 0.590
S2 S 0.069 0.114 0.600
S3 S 0.159 0.111 0.902
S4 S 0.185 0.682 0.867
S5 S 0.317 0.082 0.498
S6 S 0.349 0.667 0.549
S7 S 0.370 0.039 0.798
S8 S 0.467 0.195 0.115
# E_form (uncorrected) ... -0.165 eV/atom



Record 5
# GGA-PBE BaU2PdO8, relaxed
data_BaU2PdO8
_chemical_formula_sum 'Ba1 U2 Pd1 O8'
_cell_length_a 5.434
_cell_length_b 5.459
_cell_length_c 7.023
_cell_angle_alpha 88.78
_cell_angle_beta 88.80
_cell_angle_gamma 80.34
_symmetry_space_group_name_H-M 'P -1'
_symmetry_Int_Tables_number 2
_symmetry_space_group_name_Hall '-P 1'
loop_
_atom_site_label
_atom_site_type_symbol
_atom_site_fract_x
_atom_site_fract_y
_atom_site_fract_z
Ba1 Ba 0.000 0.000 0.000
U1 U 0.500 0.499 0.740
Pd1 Pd 0.000 0.000 0.500
O1 O 0.204 0.777 0.703
O2 O 0.222 0.795 0.297
O3 O 0.348 0.348 0.987
O4 O 0.348 0.349 0.488
# E_form (uncorrected) ... -2.533 eV/atom



Record 6
# GGA-PBE SiPt2Au, relaxed
data_SiPt2Au
_chemical_formula_sum 'Si1 Pt2 Au1'
_cell_length_a 3.472
_cell_length_b 3.681
_cell_length_c 5.403
_cell_angle_alpha 90.00
_cell_angle_beta 108.06
_cell_angle_gamma 90.00
_symmetry_space_group_name_H-M 'P 1 2/m 1'
_symmetry_Int_Tables_number 10
_symmetry_space_group_name_Hall '-P 2y'
loop_
_atom_site_label
_atom_site_type_symbol
_atom_site_fract_x
_atom_site_fract_y
_atom_site_fract_z
Si1 Si 0.000 0.000 0.000
Pt1 Pt 0.371 0.500 0.226
Au1 Au 0.000 0.000 0.500
# E_form (uncorrected) ... -0.301 eV/atom



Record 7
# GGA-PBE ErGaPd6, relaxed
data_ErGaPd6
_chemical_formula_sum 'Er2 Ga2 Pd12'
_cell_length_a 8.033
_cell_length_b 5.419
_cell_length_c 7.331
_cell_angle_alpha 90.00
_cell_angle_beta 111.94
_cell_angle_gamma 90.00
_symmetry_space_group_name_H-M 'C 1 2/m 1'
_symmetry_Int_Tables_number 12
_symmetry_space_group_name_Hall '-C 2y'
loop_
_atom_site_label
_atom_site_type_symbol
_atom_site_fract_x
_atom_site_fract_y
_atom_site_fract_z
Er1 Er 0.000 0.000 0.000
Ga1 Ga 0.000 0.500 0.500
Pd1 Pd 0.157 0.000 0.444
Pd2 Pd 0.184 0.243 0.791
# Relative energy among the computed polymorphs ... 301.3 meV per atom
# Formation energy from the elements ... -0.38 eV per atom



Question: What is the formula in the fourth record?
Answer: TlAs5S8



Question: Which formula does entry 3 have?
Answer: Sn2Hg5Pb12



Question: Number 3 is which compound?
Answer: Sn2Hg5Pb12